Record 1
## BaNdBi4Rh2 (PBE)

Data for a relaxed BaNdBi4Rh2 crystal.

Values from the calculation:
E_tot   -5.0342 eV per atom
Total magnetization   0.0 Bohr magnetons per cell
Formation energy   -0.420 eV per atom

Cell lengths 4.7715, 4.7715, 10.9327 Å; angles 90.00, 90.00, 90.00 degrees
Closest atoms and distances in Å follow each position.
Atoms (fractional coordinates):
Ba 0.0000 0.0000 0.0000  8 Bi 3.69
Nd 0.0000 0.0000 0.5000  8 Bi 3.57, 8 Rh 3.62
Bi 0.0000 0.5000 0.2572  2 Rh 2.74
Bi 0.0000 0.5000 0.7428  2 Rh 2.74
Bi 0.5000 0.0000 0.2572  2 Rh 2.74
Bi 0.5000 0.0000 0.7428  2 Rh 2.74
Rh 0.5000 0.5000 0.3796  1 Rh 2.63, 4 Bi 2.74
Rh 0.5000 0.5000 0.6204  1 Rh 2.63, 4 Bi 2.74

---

Record 2
## SrCo4Ag (PBE)

Data for a relaxed SrCo4Ag crystal.

Values from the calculation:
E_tot   -5.1634 eV per atom
Total magnetization   6.5 Bohr magnetons per cell
Formation energy   0.329 eV per atom

Cell lengths 5.0919, 5.0919, 5.0919 Å; angles 60.00, 60.00, 60.00 degrees
Closest atoms and distances in Å follow each position.
Atoms (fractional coordinates):
Sr 0.0000 0.0000 0.0000  12 Co 2.99, 4 Ag 3.12
Co 0.3761 0.3761 0.3761  6 Co 2.52-2.57
Co 0.3761 0.3761 0.8718  6 Co 2.52-2.57
Co 0.3761 0.8718 0.3761  6 Co 2.52-2.57
Co 0.8718 0.3761 0.3761  6 Co 2.52-2.57
Ag 0.7500 0.7500 0.7500  12 Co 2.98, 4 Sr 3.12

---

Record 3
## YGa8Cu4 (PBE)

Data for a relaxed YGa8Cu4 crystal.

Values from the calculation:
E_tot   -3.8382 eV per atom
Total magnetization   0.0 Bohr magnetons per cell
Formation energy   -0.218 eV per atom

Cell lengths 6.7925, 6.7925, 6.7925 Å; angles 98.68, 98.68, 134.27 degrees
Closest atoms and distances in Å follow each position.
Atoms (fractional coordinates):
Y 0.0000 0.0000 0.0000  12 Ga 3.07-3.25, 8 Cu 3.40
Ga 0.0000 0.3466 0.3466  4 Cu 2.71, 5 Ga 2.72-2.88
Ga 0.0000 0.6534 0.6534  4 Cu 2.71, 5 Ga 2.72-2.88
Ga 0.2848 0.5000 0.7848  4 Cu 2.59, 6 Ga 2.69-2.88
Ga 0.3466 0.0000 0.3466  4 Cu 2.71, 5 Ga 2.72-2.88
Ga 0.5000 0.2848 0.7848  4 Cu 2.59, 6 Ga 2.69-2.88
Ga 0.5000 0.7152 0.2152  4 Cu 2.59, 6 Ga 2.69-2.88
Ga 0.6534 0.0000 0.6534  4 Cu 2.71, 5 Ga 2.72-2.88
Ga 0.7152 0.5000 0.2152  4 Cu 2.59, 6 Ga 2.69-2.88
Cu 0.0000 0.0000 0.5000  8 Ga 2.59-2.71, 2 Cu 2.64
Cu 0.0000 0.5000 0.0000  8 Ga 2.59-2.71, 2 Cu 2.64
Cu 0.5000 0.0000 0.0000  8 Ga 2.59-2.71, 2 Cu 2.64
Cu 0.5000 0.5000 0.5000  8 Ga 2.59-2.71, 2 Cu 2.64

---

Record 4
## CrMo2Au (PBE)

Data for a relaxed CrMo2Au crystal.

Values from the calculation:
Energy above the lowest structure with this stoichiometry   0.158 eV/atom
E_tot   -8.2694 eV per atom
Total magnetization   0.0 Bohr magnetons per cell
Formation energy   0.371 eV per atom

Cell lengths 4.8135, 4.8135, 5.0251 Å; angles 96.78, 96.78, 32.16 degrees
Closest atoms and distances in Å follow each position.
Atoms (fractional coordinates):
Cr 0.0000 0.0000 0.0000  2 Cr 2.67, 7 Mo 2.75-2.85, 3 Au 2.78-2.79
Mo 0.5056 0.5056 0.5000  5 Mo 2.67-2.88, 3 Au 2.78-2.84, 4 Cr 2.84-2.85
Mo 0.7498 0.7498 0.2438  5 Mo 2.67-2.88, 3 Cr 2.75-2.81, 4 Au 2.79-2.90
Au 0.2556 0.2556 0.7569  2 Au 2.67, 3 Cr 2.78-2.79, 7 Mo 2.78-2.90

---

Record 5
## CaLaCe2As4 (PBE)

Data for a relaxed CaLaCe2As4 crystal.

Values from the calculation:
E_tot   -6.0731 eV per atom
Total magnetization   1.0 Bohr magnetons per cell
Formation energy   -1.399 eV per atom

Cell lengths 7.3876, 4.2821, 7.4014 Å; angles 90.00, 109.45, 90.00 degrees
Closest atoms and distances in Å follow each position.
Atoms (fractional coordinates):
Ca 0.0000 0.0000 0.0000  6 As 3.07-3.08
La 0.5000 0.5000 0.0000  6 As 3.07
Ce 0.0000 0.5000 0.5000  6 As 2.97-2.98
Ce 0.5000 0.0000 0.5000  6 As 2.97
As 0.2460 0.0000 0.7383  3 Ce 2.97-2.98, 1 Ca 3.07, 2 La 3.07
As 0.2548 0.5000 0.2636  3 Ce 2.97, 1 La 3.07, 2 Ca 3.08
As 0.7452 0.5000 0.7364  3 Ce 2.97, 1 La 3.07, 2 Ca 3.08
As 0.7540 0.0000 0.2617  3 Ce 2.97-2.98, 1 Ca 3.07, 2 La 3.07

---

Record 6
## TiSiC2 (PBE)

Data for a relaxed TiSiC2 crystal.

Values from the calculation:
Energy above the lowest structure with this stoichiometry   1.218 eV/atom
E_tot   -6.7459 eV per atom
Total magnetization   0.0 Bohr magnetons per cell
Raw formation energy   1.20 eV/atom

Cell lengths 3.7844, 3.7844, 3.7844 Å; angles 60.00, 60.00, 60.00 degrees
Closest atoms and distances in Å follow each position.
Atoms (fractional coordinates):
Ti 0.0000 0.0000 0.0000  8 C 2.32
Si 0.5000 0.5000 0.5000  8 C 2.32
C 0.2500 0.2500 0.2500  4 Ti 2.32, 4 Si 2.32
C 0.7500 0.7500 0.7500  4 Ti 2.32, 4 Si 2.32